# 1
Material: RbI2Br
Method: DFT, PBEsol
State: optimized geometry

Unit cell a=10.857 b=10.857 c=10.857 alpha=145.45 beta=145.45 gamma=49.67
Element x y z (fractional)
Rb  0.000  0.000  0.000
Rb  0.750  0.250  0.500
I  0.217  0.625  0.092
I  0.375  0.467  0.592
I  0.533  0.125  0.908
I  0.875  0.783  0.408
Br  0.250  0.750  0.500
Br  0.500  0.500  0.000

Calculated values
Fermi-level density of states: 7.5 states/eV per cell
formation energy from raw total energies: -456 meV/atom
uncorrected energy: -2.0636 eV/atom

# 2
Material: Pt2SeCl
Method: DFT, PBEsol
State: optimized geometry

Unit cell a=6.767 b=6.767 c=6.767 alpha=32.15 beta=32.15 gamma=32.15
Element x y z (fractional)
Pt  0.000  0.000  0.000
Pt  0.258  0.258  0.258
Se  0.536  0.536  0.536
Cl  0.731  0.731  0.731

Calculated values
Fermi-level density of states: 1.8 states/eV per cell
formation energy from raw total energies: -240 meV/atom
energy above the most stable polymorph in this dataset: 0 meV per atom
uncorrected energy: -5.1860 eV/atom

# 3
Material: InTcRh2
Method: DFT, PBEsol
State: optimized geometry

Unit cell a=3.748 b=4.002 c=4.016 alpha=90.00 beta=90.00 gamma=90.00
Element x y z (fractional)
In  0.000  0.000  0.000
Tc  0.000  0.500  0.500
Rh  0.500  0.000  0.500
Rh  0.500  0.500  0.000

Calculated values
Fermi-level density of states: 5.6 states/eV per cell
uncorrected energy: -7.5038 eV/atom
formation energy from the elements: 12.3 kJ/mol of atoms

# 4
Material: MgP2SCl
Method: DFT, PBEsol
State: optimized geometry

Unit cell a=4.599 b=4.599 c=4.558 alpha=90.00 beta=90.00 gamma=90.00
Element x y z (fractional)
Mg  0.000  0.000  0.000
P  0.000  0.500  0.500
P  0.500  0.000  0.500
S  0.500  0.500  0.000
Cl  0.500  0.500  0.500

Calculated values
Fermi-level density of states: 4.1 states/eV per cell
formation energy from raw total energies: 846 meV/atom
uncorrected energy: -3.0925 eV/atom

# 5
Material: LaCoO3
Method: DFT, PBEsol
State: optimized geometry

Unit cell a=3.774 b=3.774 c=3.774 alpha=90.00 beta=90.00 gamma=90.00
Element x y z (fractional)
La  0.000  0.000  0.000
Co  0.500  0.500  0.500
O  0.000  0.500  0.500
O  0.500  0.000  0.500
O  0.500  0.500  0.000

Calculated values
Fermi-level density of states: 4.8 states/eV per cell
formation energy from raw total energies: -2269 meV/atom
uncorrected energy: -8.0353 eV/atom

# 6
Material: Li3PF
Method: DFT, PBEsol
State: optimized geometry

Unit cell a=3.883 b=3.883 c=3.883 alpha=90.00 beta=90.00 gamma=90.00
Element x y z (fractional)
Li  0.000  0.000  0.500
Li  0.000  0.500  0.000
Li  0.500  0.000  0.000
P  0.500  0.500  0.500
F  0.000  0.000  0.000

Calculated values
Fermi-level density of states: 2.2 states/eV per cell
formation energy from raw total energies: -1396 meV/atom
energy above the most stable polymorph in this dataset: 0 meV per atom
uncorrected energy: -4.1200 eV/atom